The following is a DFT calculation (PBE) of La11Cd9Co4 after structural relaxation.

Summary:
energy of formation: -0.2774 eV per atom

Cell lengths 3.772, 13.560, 13.560 Å; angles 112.50, 90.00, 90.00 degrees
Atoms (fractional coordinates):
1 La 0.000 0.912 0.580
2 La 0.000 0.314 0.314
3 La 0.000 0.686 0.686
4 La 0.000 0.000 0.000
5 La 0.000 0.842 0.158
6 La 0.000 0.158 0.842
7 La 0.000 0.420 0.088
8 La 0.000 0.088 0.420
9 La 0.000 0.626 0.374
10 La 0.000 0.374 0.626
11 La 0.000 0.580 0.912
12 Co 0.500 0.546 0.754
13 Co 0.500 0.754 0.546
14 Co 0.500 0.454 0.246
15 Co 0.500 0.246 0.454
16 Cd 0.500 0.082 0.219
17 Cd 0.500 0.500 0.500
18 Cd 0.500 0.363 0.839
19 Cd 0.500 0.839 0.363
20 Cd 0.500 0.161 0.637
21 Cd 0.500 0.219 0.082
22 Cd 0.500 0.637 0.161
23 Cd 0.500 0.781 0.918
24 Cd 0.500 0.918 0.781